# MgTl2H12Se2O14 | the Alexandria database | PBE | relaxed
# Density   3.6 g/cm3
# N(E_F)   0.0000 states/eV per atom
# Volume   12.15 A^3/atom
# VASP energy   -5.06 eV per atom
data_MgTl2H12Se2O14
_symmetry_space_group_name_H-M 'P 1 21/c 1'
_symmetry_Int_Tables_number 14
_cell_length_a 6.4644
_cell_length_b 12.7647
_cell_length_c 9.4146
_cell_angle_alpha 90.00
_cell_angle_beta 104.14
_cell_angle_gamma 90.00
loop_
_symmetry_equiv_pos_as_xyz
'x,y,z'
'-x,-y,-z'
'-x,y+1/2,-z+1/2'
'x,-y+1/2,z+1/2'
loop_
_atom_site_label
_atom_site_fract_x
_atom_site_fract_y
_atom_site_fract_z
Mg1 0.0000 0.0000 0.0000
Tl1 0.3450 0.1533 0.6364
H1 0.0008 0.1871 0.8573
H2 0.0753 0.6005 0.7644
H3 0.0975 0.1229 0.2437
H4 0.3187 0.0856 0.2120
H5 0.3267 0.6378 0.5229
H6 0.3298 0.5599 0.3919
Se1 0.2717 0.6402 0.0923
O1 0.0210 0.1122 0.8346
O2 0.0347 0.6774 0.1206
O3 0.1677 0.1030 0.1652
O4 0.2403 0.5769 0.9334
O5 0.2812 0.5668 0.4837
O6 0.3987 0.5588 0.2268
O7 0.4293 0.7454 0.0946

# CoBi2Te2 | the Alexandria database | PBE | relaxed
# Uncorrected formation energy   164 meV/atom
# Density   8.4 g/cm3
# N(E_F)   0.9198 states/eV per atom
# Volume   28.82 A^3/atom
data_CoBi2Te2
_symmetry_space_group_name_H-M 'P 4/m b m'
_symmetry_Int_Tables_number 127
_symmetry_space_group_name_Hall '-P 4 2ab'
_cell_length_a 6.6610
_cell_length_b 6.6610
_cell_length_c 6.4961
_cell_angle_alpha 90.00
_cell_angle_beta 90.00
_cell_angle_gamma 90.00
loop_
_atom_site_label
_atom_site_fract_x
_atom_site_fract_y
_atom_site_fract_z
Co1 0.0000 0.0000 0.0000
Bi1 0.1949 0.3051 0.5000
Te1 0.1621 0.3379 0.0000

# Tl3Zn2HgF9 | the Alexandria database | PBE | relaxed
# Uncorrected formation energy   -1936 meV/atom
# Density   7.6 g/cm3
# N(E_F)   0.0000 states/eV per atom
# Volume   16.19 A^3/atom
data_Tl3Zn2HgF9
_symmetry_space_group_name_H-M 'P -3 m 1'
_symmetry_Int_Tables_number 164
_symmetry_space_group_name_Hall '-P 3 2"'
_cell_length_a 6.0840
_cell_length_b 6.0840
_cell_length_c 7.5763
_cell_angle_alpha 90.00
_cell_angle_beta 90.00
_cell_angle_gamma 120.00
loop_
_atom_site_label
_atom_site_fract_x
_atom_site_fract_y
_atom_site_fract_z
Tl1 0.0000 0.0000 0.0000
Tl2 0.3333 0.6667 0.6729
Zn1 0.3333 0.6667 0.1526
Hg1 0.0000 0.0000 0.5000
F1 0.0000 0.5000 0.0000
F2 0.1755 0.3509 0.3125

# YTaW2 | the Alexandria database | PBE | relaxed
# Excess energy over the best structure of this formula in the dataset   314.9 meV per atom
# Density   13.9 g/cm3
# N(E_F)   1.1000 states/eV per atom
# Volume   19.05 A^3/atom
# Energy of formation   622 meV per atom
data_YTaW2
_symmetry_space_group_name_H-M 'P m m 2'
_symmetry_Int_Tables_number 25
_cell_length_a 2.7874
_cell_length_b 4.7975
_cell_length_c 5.6995
_cell_angle_alpha 90.00
_cell_angle_beta 90.00
_cell_angle_gamma 90.00
loop_
_symmetry_equiv_pos_as_xyz
'x,y,z'
'-x,-y,z'
'-x,y,z'
'x,-y,z'
loop_
_atom_site_label
_atom_site_fract_x
_atom_site_fract_y
_atom_site_fract_z
Y1 0.0000 0.0000 0.0000
Ta1 0.5000 0.5000 0.2644
W1 0.0000 0.0000 0.5048
W2 0.5000 0.5000 0.7351

- Number 4 is which compound?
  YTaW2